The following is a PBE-GGA calculation of crystalline PmNi2Pd at its relaxed geometry, from Alexandria.

abc: 5.1728 5.1728 5.1728
angles: 48.94 48.94 48.94
Element x y z (fractional)
Pm 0.0000 0.0000 0.0000
Ni 0.1963 0.1963 0.1963
Ni 0.8037 0.8037 0.8037
Pd 0.5000 0.5000 0.5000

As for the formation energy: -1.37 eV per formula unit. The symmetry is R-3m, No. 166. The value obtained for the raw total energy is -5.72 eV per atom. For the energy above the lowest structure with this stoichiometry, the calculation gives 0 meV/atom.